Record 1
Cu2TcHg2 | PBE-GGA | relaxed

Properties
- Formation energy: 839 meV/atom

a = 3.9997 Å, b = 3.9997 Å, c = 11.5682 Å
α = 90.00°, β = 90.00°, γ = 90.00°
Closest atoms and distances in Å follow each position.
Space group I4/mmm (No. 139)
One atom of each set of equivalent atoms:
Cu 0.0000 0.0000 0.0966 x4  1 Cu 2.23
Tc 0.0000 0.0000 0.5000 x2  8 Cu 3.04
Hg 0.0000 0.5000 0.2500 x4  4 Cu 2.67, 4 Hg 2.83



Record 2
CuSbMoI2 | PBE-GGA | relaxed

Properties
- E_form (uncorrected): 1.06 eV/atom

a = 5.3642 Å, b = 5.3642 Å, c = 5.1554 Å
α = 90.00°, β = 90.00°, γ = 90.00°
Closest atoms and distances in Å follow each position.
Space group P4/mmm (No. 123)
One atom of each set of equivalent atoms:
Cu 0.0000 0.0000 0.0000 x1  2 Sb 2.58, 4 I 2.68
Sb 0.0000 0.0000 0.5000 x1  2 Cu 2.58
Mo 0.5000 0.5000 0.5000 x1  8 I 3.72, 4 Sb 3.79
I 0.0000 0.5000 0.0000 x2  2 Cu 2.68



It is found that the total DFT energy (no corrections) values, taken in the order of the records, are -2.9937 -3.3725 eV/atom.
It is found that the N(E_F) values, taken in the order of the records, are 3.8 3.9 states/eV/f.u..
It is found that the relative energy among the computed polymorphs values, taken in the order of the records, are 0.2935 0.1928 eV per atom.